1.
{"formula": "ScTc2Sn", "functional": "PBE", "state": "optimized geometry", "spacegroup": "F-43m, No. 216", "e_tot_ev_per_cell": -31.05, "volume_a3_per_atom": 17.2, "lattice": [[0.0000, 3.2521, 3.2521], [3.2521, 0.0000, 3.2521], [3.2521, 3.2521, 0.0000]], "species": ["Sc", "Tc", "Tc", "Sn"], "frac_coords": [[0.0000, 0.0000, 0.0000], [0.2500, 0.2500, 0.2500], [0.5000, 0.5000, 0.5000], [0.7500, 0.7500, 0.7500]]}

=====

2.
{"formula": "ScTc2Sn2", "functional": "PBE", "state": "optimized geometry", "spacegroup": "I4/mmm, No. 139", "e_tot_ev_per_cell": -34.50, "volume_a3_per_atom": 21.4, "lattice": [[-2.3149, 2.3149, 4.9947], [2.3149, -2.3149, 4.9947], [2.3149, 2.3149, -4.9947]], "species": ["Sc", "Tc", "Tc", "Sn", "Sn"], "frac_coords": [[0.0000, 0.0000, 0.0000], [0.3892, 0.3892, 0.0000], [0.6108, 0.6108, 0.0000], [0.2500, 0.7500, 0.5000], [0.7500, 0.2500, 0.5000]]}

=====

3.
{"formula": "ScTcSn", "functional": "PBE", "state": "optimized geometry", "spacegroup": "F-43m, No. 216", "volume_a3_per_atom": 22.3, "polymorph_energy_ev_per_atom": 0.361, "lattice": [[0.0000, 3.2228, 3.2228], [3.2228, 0.0000, 3.2228], [3.2228, 3.2228, 0.0000]], "species": ["Sc", "Tc", "Sn"], "frac_coords": [[0.0000, 0.0000, 0.0000], [0.2500, 0.2500, 0.2500], [0.7500, 0.7500, 0.7500]]}

=====

4.
{"formula": "Sc2TcSn", "functional": "PBE", "state": "optimized geometry", "spacegroup": "F-43m, No. 216", "e_tot_ev_per_cell": -28.24, "volume_a3_per_atom": 18.8, "lattice": [[0.0000, 3.3489, 3.3489], [3.3489, 0.0000, 3.3489], [3.3489, 3.3489, 0.0000]], "species": ["Sc", "Sc", "Tc", "Sn"], "frac_coords": [[0.0000, 0.0000, 0.0000], [0.2500, 0.2500, 0.2500], [0.7500, 0.7500, 0.7500], [0.5000, 0.5000, 0.5000]]}

=====

5.
{"formula": "ScTcSn", "functional": "PBE", "state": "optimized geometry", "spacegroup": "F-43m, No. 216", "volume_a3_per_atom": 22.0, "polymorph_energy_ev_per_atom": 0.000, "lattice": [[0.0000, 3.2092, 3.2092], [3.2092, 0.0000, 3.2092], [3.2092, 3.2092, 0.0000]], "species": ["Sc", "Tc", "Sn"], "frac_coords": [[0.0000, 0.0000, 0.0000], [0.5000, 0.5000, 0.5000], [0.2500, 0.2500, 0.2500]]}

=====

6.
{"formula": "Th3Sc2Sn2", "functional": "PBE", "state": "optimized geometry", "spacegroup": "Cmmm, No. 65", "e_tot_ev_per_cell": -44.37, "volume_a3_per_atom": 28.1, "lattice": [[2.4072, -11.7843, 0.0000], [2.4072, 11.7843, 0.0000], [0.0000, 0.0000, 3.4663]], "species": ["Th", "Th", "Th", "Sc", "Sc", "Sn", "Sn"], "frac_coords": [[0.0000, 0.0000, 0.0000], [0.1506, 0.8494, 0.0000], [0.8494, 0.1506, 0.0000], [0.2831, 0.7169, 0.5000], [0.7169, 0.2831, 0.5000], [0.4227, 0.5773, 0.5000], [0.5773, 0.4227, 0.5000]]}

=====

7.
{"formula": "TmScSn4", "functional": "PBE", "state": "optimized geometry", "spacegroup": "Amm2, No. 38", "e_tot_ev_per_cell": -29.83, "volume_a3_per_atom": 24.6, "lattice": [[4.2901, 0.0000, 0.0000], [0.0000, 2.1613, 7.9586], [0.0000, -2.1613, 7.9586]], "species": ["Tm", "Sc", "Sn", "Sn", "Sn", "Sn"], "frac_coords": [[0.0000, 0.0000, 0.0000], [0.5000, 0.1962, 0.1962], [0.0000, 0.3458, 0.3458], [0.0000, 0.6676, 0.6676], [0.5000, 0.5368, 0.5368], [0.5000, 0.8450, 0.8450]]}

=====

8.
{"formula": "TmScSn2", "functional": "PBE", "state": "optimized geometry", "spacegroup": "Amm2, No. 38", "e_tot_ev_per_cell": -18.24, "volume_a3_per_atom": 29.3, "lattice": [[3.2508, 0.0000, 0.0000], [0.0000, 3.0118, 5.9914], [0.0000, -3.0118, 5.9914]], "species": ["Tm", "Sc", "Sn", "Sn"], "frac_coords": [[0.0000, 0.0000, 0.0000], [0.0000, 0.2726, 0.2726], [0.0000, 0.5100, 0.5100], [0.0000, 0.7471, 0.7471]]}